CaMn9CdO10 | the Alexandria database | PBE with a Hubbard U | optimized geometry; ΔE to the lowest computed polymorph = 0.1009 eV/atom; theoretical density = 4.7 g/cm³; electronic total energy = -150.206 eV per formula unit; space group = P1, No. 1
1.0
6.297 0.000 0.000
2.855 5.613 0.000
3.081 -0.998 8.105
Ca Mn Cd O
1 9 1 10
Direct
0.000 0.000 0.000
0.008 0.262 0.552
0.092 0.694 0.467
0.251 0.505 0.119
0.301 0.043 0.189
0.304 0.419 0.753
0.629 0.157 0.368
0.672 0.962 0.831
0.681 0.607 0.276
0.726 0.497 0.913
0.480 0.839 0.631
0.021 0.440 0.338
0.034 0.899 0.267
0.268 0.212 0.973
0.357 0.639 0.893
0.391 0.989 0.399
0.464 0.499 0.504
0.622 0.357 0.150
0.710 0.795 0.049
0.894 0.136 0.773
0.966 0.568 0.696